Record 1
Below is a relaxed structure of PmDy6Ho2Tm, with properties calculated at the PBE level.

abc: 9.054 14.986 9.493
angles: 90.00 97.03 90.00
Space group C2/c (No. 15)
Unique sites:
1 Pm 0.000 0.025 0.250 [4 per cell]
2 Dy 0.062 0.186 0.944 [8 per cell]
3 Dy 0.100 0.391 0.118 [8 per cell]
4 Dy 0.209 0.225 0.316 [8 per cell]
5 Ho 0.248 0.448 0.454 [8 per cell]
6 Tm 0.000 0.410 0.750 [4 per cell]



Record 2
Below is a relaxed structure of CaLu2Cd, with properties calculated at the PBE level.

Calculated values
offset from the most stable computed form = 0.000 eV/atom

abc: 3.636 3.636 9.172
angles: 90.00 90.00 90.00
Space group P4/mmm (No. 123)
Unique sites:
1 Ca 0.000 0.000 0.000 [1 per cell]
2 Lu 0.500 0.500 0.299 [2 per cell]
3 Cd 0.000 0.000 0.500 [1 per cell]



Record 3
Below is a relaxed structure of Sm2SnPb, with properties calculated at the PBE level.

Calculated values
offset from the most stable computed form = 0.160 eV/atom

abc: 7.772 7.772 7.772
angles: 90.00 90.00 90.00
Space group Fm-3m (No. 225)
Unique sites:
1 Sm 0.250 0.250 0.250 [8 per cell]
2 Sn 0.000 0.000 0.000 [4 per cell]
3 Pb 0.000 0.000 0.500 [4 per cell]



Record 4
Below is a relaxed structure of Pm2GaGeRh6, with properties calculated at the PBE level.

abc: 6.491 6.507 9.190
angles: 90.00 90.00 90.00
Space group Immm (No. 71)
Unique sites:
1 Pm 0.000 0.000 0.250 [4 per cell]
2 Ga 0.000 0.500 0.000 [2 per cell]
3 Ge 0.000 0.500 0.500 [2 per cell]
4 Rh 0.000 0.500 0.251 [4 per cell]
5 Rh 0.249 0.251 0.500 [8 per cell]



Number 1: formation energy from the elements 0.120 eV/atom, DFT total energy -4.479 eV per atom. Number 2: formation energy from the elements -0.048 eV/atom, DFT total energy -3.038 eV per atom. Number 3: formation energy from the elements -0.496 eV/atom, DFT total energy -4.783 eV per atom. Number 4: formation energy from the elements -0.322 eV/atom, DFT total energy -6.447 eV per atom.